(1)
Entry from Alexandria via LeMat-Bulk: a relaxed CsNa2HgO crystal (PBE-GGA).

The space group is P4/mmm (No. 123) and the conventional cell measures 4.939, 4.939 and 6.006 Å, with angles of 90.00, 90.00 and 90.00 degrees. The asymmetric unit holds Cs at (0.000, 0.000, 0.000), Na at (0.000, 0.500, 0.500), Hg at (0.500, 0.500, 0.000) and O at (0.000, 0.000, 0.500).

The value obtained for the uncorrected formation energy is -0.59 eV per atom. Its crystal system is tetragonal.

=====

(2)
Entry from Alexandria via LeMat-Bulk: a relaxed CeGa2Ni7 crystal (PBE-GGA).

The space group is Cmmm (No. 65) and the conventional cell measures 5.585, 14.890 and 3.645 Å, with angles of 90.00, 90.00 and 90.00 degrees. The asymmetric unit holds Ce at (0.000, 0.000, 0.000), Ga at (0.000, 0.260, 0.500), Ni at (0.000, 0.394, 0.000), Ni at (0.000, 0.500, 0.500) and Ni at (0.214, 0.121, 0.500).

Its crystal system is orthorhombic. The formation energy comes out at -0.0699 eV/atom.

=====

| no. | theoretical density (g/cm3) | V (Å³ per cell) |
| --- | --- | --- |
| 1 | 4.48 | 146.5 |
| 2 | 7.56 | 303.1 |